## w
# AlRe2As

A relaxed AlRe2As crystal (GGA-PBEsol, Alexandria via LeMat-Bulk).

Values from the calculation:
- magnetic moment (μB/f.u.) = 0.00
- SG = Fm-3m, No. 225

Lattice parameters (Å, degrees): 4.300 4.300 4.300 60.00 60.00 60.00
Element x y z (fractional)
Re  0.250  0.250  0.250
Re  0.750  0.750  0.750
As  0.500  0.500  0.500
Al  0.000  0.000  0.000



## x
# AlRe2As

A relaxed AlRe2As crystal (GGA-PBEsol, Alexandria via LeMat-Bulk).

Values from the calculation:
- magnetic moment (μB/f.u.) = 0.00
- SG = Immm, No. 71

Lattice parameters (Å, degrees): 2.978 4.788 5.033 118.40 107.21 90.00
Element x y z (fractional)
Al  0.000  0.500  0.000
Re  0.770  0.770  0.540
Re  0.230  0.230  0.460
As  0.500  0.000  0.000



Most favorable first, least favorable last: w, x



## w
# AlAsRu2

A relaxed AlAsRu2 crystal (GGA-PBEsol, Alexandria via LeMat-Bulk).

Values from the calculation:
- magnetic moment (μB/f.u.) = 0.00
- SG = Cmmm, No. 65

Lattice parameters (Å, degrees): 2.857 2.857 7.910 90.00 90.00 116.93
Element x y z (fractional)
Al  0.500  0.500  0.500
Ru  0.000  0.000  0.244
Ru  0.000  0.000  0.756
As  0.500  0.500  0.000



## x
# AlAsRu2

A relaxed AlAsRu2 crystal (GGA-PBEsol, Alexandria via LeMat-Bulk).

Values from the calculation:
- magnetic moment (μB/f.u.) = 0.00
- SG = P4/mmm, No. 123

Lattice parameters (Å, degrees): 3.018 4.207 4.207 90.00 90.00 90.00
Element x y z (fractional)
Al  0.500  0.500  0.500
As  0.500  0.000  0.000
Ru  0.000  0.000  0.500
Ru  0.000  0.500  0.000



Most favorable first, least favorable last: x, w



## w
# Al2SbAs

A relaxed Al2SbAs crystal (GGA-PBEsol, Alexandria via LeMat-Bulk).

Values from the calculation:
- magnetic moment (μB/f.u.) = 0.00
- SG = Cmm2, No. 35

Lattice parameters (Å, degrees): 3.000 3.000 9.080 90.00 90.00 99.27
Element x y z (fractional)
Sb  0.500  0.500  0.222
As  0.000  0.000  0.556
Al  0.000  0.000  0.968
Al  0.500  0.500  0.754



## x
# Al2SbAs

A relaxed Al2SbAs crystal (GGA-PBEsol, Alexandria via LeMat-Bulk).

Values from the calculation:
- magnetic moment (μB/f.u.) = 0.00
- SG = I-42d, No. 122

Lattice parameters (Å, degrees): 5.928 5.928 7.239 114.17 114.17 90.00
Element x y z (fractional)
Al  0.125  0.151  0.750
Al  0.625  0.599  0.750
Al  0.849  0.375  0.250
Al  0.401  0.875  0.250
As  0.750  0.250  0.500
As  0.500  0.500  0.000
Sb  0.250  0.750  0.500
Sb  0.000  0.000  0.000



## y
# Al2SbAs

A relaxed Al2SbAs crystal (GGA-PBEsol, Alexandria via LeMat-Bulk).

Values from the calculation:
- magnetic moment (μB/f.u.) = 0.00
- SG = Cm, No. 8

Lattice parameters (Å, degrees): 3.596 4.130 6.691 90.08 90.00 115.81
Element x y z (fractional)
Sb  0.745  0.491  0.775
As  0.509  0.017  0.277
Al  0.040  0.080  0.001
Al  0.206  0.412  0.446



## z
# Al2SbAs

A relaxed Al2SbAs crystal (GGA-PBEsol, Alexandria via LeMat-Bulk).

Values from the calculation:
- magnetic moment (μB/f.u.) = 0.00
- SG = P4/mmm, No. 123

Lattice parameters (Å, degrees): 3.507 4.723 4.723 90.00 90.00 90.00
Element x y z (fractional)
Sb  0.500  0.000  0.000
Al  0.000  0.000  0.500
Al  0.000  0.500  0.000
As  0.500  0.500  0.500



Most favorable first, least favorable last: x, y, w, z